# MnIrIO2

An optimized crystal structure of MnIrIO2 (PBE with a Hubbard U, Alexandria).

The structure belongs to space group P4/mmm (No. 123); the cell edges are 3.841, 3.841 and 7.549 Å and the angles 90.00°, 90.00° and 90.00°. The asymmetric unit holds Mn at (0.000, 0.000, 0.000), Ir at (0.500, 0.500, 0.500), I at (0.500, 0.500, 0.000) and O at (0.000, 0.500, 0.500).

The calculated total energy is -5.66 eV per atom. For the excess energy over the best structure of this formula in the dataset, the calculation gives 0.000 eV/atom. Its density of states at the Fermi level is 3.62 states/eV/f.u.